Na2CuAs2 | PBE | optimized geometry

a = 6.4711 Å, b = 6.4711 Å, c = 4.8359 Å
α = 90.00°, β = 90.00°, γ = 90.00°
Space group P4/mbm (No. 127)
Inequivalent atoms, fractional coordinates:
Na1 0.1706 0.3294 0.0000 x4
Cu1 0.0000 0.0000 0.5000 x2
As1 0.1408 0.6408 0.5000 x4

DOS at the Fermi energy: 1.83 states/eV/f.u.
total magnetization: 0.0 μB/cell
energy above the lowest structure with this stoichiometry: 26 meV/atom
ΔE_f: -6.5 kcal/mol of atoms